1.
Material: Zn3As2Pd8
Method: DFT, PBE-GGA
State: optimized geometry

The structure in POSCAR format:
```
Zn3As2Pd8
1.0
-4.0338 -0.5955 1.2639
-2.2842 0.4936 -7.0573
1.8900 -6.7986 2.8283
As Zn Pd
2 3 8
Direct
0.5000 0.7660 0.5321
0.5000 0.2340 0.4679
0.0000 0.6943 0.0000
0.0000 0.3057 0.0000
0.5000 0.0000 0.0000
0.5000 0.3922 0.2412
0.5000 0.1510 0.7588
0.0000 0.6664 0.3329
0.0000 0.3336 0.6671
0.5000 0.6078 0.7588
0.5000 0.8490 0.2412
0.0000 0.1148 0.2295
0.0000 0.8852 0.7705
```

## Properties
- SG = Cmmm, No. 65
- total moment (Bohr magnetons per cell) = 0.00
- total DFT energy (no corrections) (eV per formula unit) = -59.6

***

2.
Material: Zr2AsPd2
Method: DFT, PBE-GGA
State: optimized geometry

The structure in POSCAR format:
```
Zr2AsPd2
1.0
-3.2458 3.5477 -5.2395
-6.3275 -1.8515 2.6661
-0.0179 3.0927 2.1052
Zr Pd As
4 4 2
Direct
0.6714 0.8286 0.5000
0.8286 0.3286 0.5000
0.1714 0.6714 0.5000
0.3286 0.1714 0.5000
0.6317 0.1317 0.0000
0.3683 0.8683 0.0000
0.1317 0.3683 0.0000
0.8683 0.6317 0.0000
0.0000 0.0000 0.0000
0.5000 0.5000 0.0000
```

## Properties
- ΔE to the lowest computed polymorph (meV/atom) = 0
- SG = P4/mbm, No. 127
- total moment (Bohr magnetons per cell) = 0.00

***

3.
Material: ZrAs2Pd7
Method: DFT, PBE-GGA
State: optimized geometry

The structure in POSCAR format:
```
ZrAs2Pd7
1.0
4.0450 0.0000 -0.7783
-0.1498 4.0422 -0.7783
-0.0954 -0.0990 10.4041
Pd As Zr
7 2 1
Direct
0.5989 0.0989 0.1979
0.0989 0.5989 0.1979
0.5000 0.5000 0.0000
0.2500 0.7500 0.5000
0.9011 0.4011 0.8021
0.7500 0.2500 0.5000
0.4011 0.9011 0.8021
0.3252 0.3252 0.6503
0.6748 0.6748 0.3497
0.0000 0.0000 0.0000
```

## Properties
- SG = I4/mmm, No. 139
- total moment (Bohr magnetons per cell) = 0.00
- total DFT energy (no corrections) (eV per formula unit) = -59.6

***

4.
Material: ZrAs3Pd
Method: DFT, PBE-GGA
State: optimized geometry

The structure in POSCAR format:
```
ZrAs3Pd
1.0
-3.8407 -1.6703 2.3852
2.5879 -3.7677 1.5287
1.3348 2.4988 3.8992
Zr As Pd
1 3 1
Direct
0.5000 0.5000 0.5000
0.5000 0.0000 0.0000
0.0000 0.5000 0.0000
0.0000 0.0000 0.5000
0.0000 0.0000 0.0000
```

## Properties
- ΔE to the lowest computed polymorph (meV/atom) = 0
- SG = Pm-3m, No. 221
- total moment (Bohr magnetons per cell) = 0.00

***

5.
Material: ZrAs3Pd
Method: DFT, PBE-GGA
State: optimized geometry

The structure in POSCAR format:
```
ZrAs3Pd
1.0
5.1315 0.0000 0.0000
0.0000 5.1315 0.0000
0.0000 0.0000 5.1315
Zr As Pd
1 3 1
Direct
0.0000 0.0000 0.0000
0.5000 0.0000 0.0000
0.0000 0.0000 0.5000
0.0000 0.5000 0.0000
0.5000 0.5000 0.5000
```

## Properties
- ΔE to the lowest computed polymorph (meV/atom) = 151
- SG = Pm-3m, No. 221
- total moment (Bohr magnetons per cell) = 0.00

***

6.
Material: ZrAsPd3
Method: DFT, PBE-GGA
State: optimized geometry

The structure in POSCAR format:
```
ZrAsPd3
1.0
4.6325 0.0000 0.0000
0.0000 4.6325 0.0000
0.0000 0.0000 4.6325
Pd Zr As
3 1 1
Direct
0.5000 0.0000 0.0000
0.0000 0.5000 0.0000
0.0000 0.0000 0.5000
0.5000 0.5000 0.5000
0.0000 0.0000 0.0000
```

## Properties
- ΔE to the lowest computed polymorph (meV/atom) = 0
- SG = Pm-3m, No. 221
- total moment (Bohr magnetons per cell) = 0.00

***

7.
Material: Zr4AsPd
Method: DFT, PBE-GGA
State: optimized geometry

The structure in POSCAR format:
```
Zr4AsPd
1.0
-3.2214 -4.3795 0.7687
5.3118 -3.9853 -0.4455
0.9133 0.4823 6.5749
Zr As Pd
8 2 2
Direct
0.0000 0.8430 0.3449
0.5000 0.6551 0.1570
0.5000 0.8430 0.6551
0.0000 0.3449 0.1570
0.5000 0.3449 0.8430
0.5000 0.1570 0.3449
0.0000 0.1570 0.6551
0.0000 0.6551 0.8430
0.7500 0.5000 0.5000
0.2500 0.5000 0.5000
0.2500 0.0000 0.0000
0.7500 0.0000 0.0000
```

## Properties
- SG = P4/mcc, No. 124
- total moment (Bohr magnetons per cell) = 0.00
- total DFT energy (no corrections) (eV per formula unit) = -48.0

***

8.
Material: Zr2AsPd2
Method: DFT, PBE-GGA
State: optimized geometry

The structure in POSCAR format:
```
Zr2AsPd2
1.0
7.4339 0.0000 0.0000
0.0000 7.4339 0.0000
0.0000 0.0000 3.5768
Zr Pd As
4 4 2
Direct
0.8314 0.6686 0.0000
0.1686 0.3314 0.0000
0.3314 0.8314 0.0000
0.6686 0.1686 0.0000
0.3709 0.1291 0.5000
0.8709 0.3709 0.5000
0.6291 0.8709 0.5000
0.1291 0.6291 0.5000
0.5000 0.5000 0.0000
0.0000 0.0000 0.0000
```

## Properties
- ΔE to the lowest computed polymorph (meV/atom) = 48
- SG = P4/mbm, No. 127
- total moment (Bohr magnetons per cell) = 0.00

***

9.
Material: Zr3As3Pd
Method: DFT, PBE-GGA
State: optimized geometry

The structure in POSCAR format:
```
Zr3As3Pd
1.0
-3.0707 -2.0621 1.1214
6.9425 -7.4865 5.2439
-0.6691 6.6104 10.3233
As Pd Zr
12 4 12
Direct
0.7500 0.8757 0.4119
0.2500 0.2756 0.8748
0.2500 0.1243 0.5881
0.7500 0.7244 0.1252
0.2500 0.6243 0.9119
0.7500 0.2244 0.3748
0.7500 0.4374 0.6395
0.2500 0.5626 0.3605
0.7500 0.9374 0.8605
0.2500 0.7756 0.6252
0.2500 0.0626 0.1395
0.7500 0.3757 0.0881
0.7500 0.9386 0.1909
0.2500 0.5614 0.6909
0.7500 0.4386 0.3091
0.2500 0.0614 0.8091
0.7500 0.2232 0.7171
0.2500 0.5496 0.1242
0.7500 0.6461 0.5067
0.7500 0.7232 0.7829
0.2500 0.7768 0.2829
0.7500 0.4504 0.8758
0.2500 0.2768 0.2171
0.2500 0.3539 0.4933
0.7500 0.9504 0.6242
0.2500 0.8539 0.0067
0.2500 0.0496 0.3758
0.7500 0.1461 0.9933
```

## Properties
- SG = Pnma, No. 62
- total moment (Bohr magnetons per cell) = 0.00
- total DFT energy (no corrections) (eV per formula unit) = -51.7

***

10.
Material: ZrAsPd3
Method: DFT, PBE-GGA
State: optimized geometry

The structure in POSCAR format:
```
ZrAsPd3
1.0
-4.5922 -1.0004 1.3703
-1.2903 -0.5081 -4.6951
1.1017 -4.7653 0.2130
Pd As Zr
3 1 1
Direct
0.0000 0.5000 0.0000
0.0000 0.0000 0.5000
0.5000 0.0000 0.0000
0.5000 0.5000 0.5000
0.0000 0.0000 0.0000
```

## Properties
- ΔE to the lowest computed polymorph (meV/atom) = 786
- SG = Pm-3m, No. 221
- total moment (Bohr magnetons per cell) = 0.00

***

11.
Material: ZrAsPd4
Method: DFT, PBE-GGA
State: optimized geometry

The structure in POSCAR format:
```
ZrAsPd4
1.0
4.8686 0.0000 -0.1371
0.0000 4.8633 0.0000
0.0086 0.0000 8.5275
Pd Zr As
8 2 2
Direct
0.0076 0.4988 0.1661
0.9924 0.5012 0.8339
0.9846 0.0016 0.6618
0.5154 0.5016 0.3382
0.4924 0.9988 0.8339
0.4846 0.4984 0.6618
0.5076 0.0012 0.1661
0.0154 0.9984 0.3382
0.5000 0.5000 0.0000
0.0000 0.0000 0.0000
0.5000 0.0000 0.5000
0.0000 0.5000 0.5000
```

## Properties
- SG = P2_1/c, No. 14
- total moment (Bohr magnetons per cell) = 0.00
- total DFT energy (no corrections) (eV per formula unit) = -36.9

***

12.
Material: ZrAsPd2
Method: DFT, PBE-GGA
State: optimized geometry

The structure in POSCAR format:
```
ZrAsPd2
1.0
-0.6498 -2.6601 -2.8158
3.4620 -1.6795 0.7877
-2.7773 -7.8317 5.3003
As Pd Zr
2 4 2
Direct
0.2500 0.7500 0.5000
0.5000 0.5000 0.0000
0.1343 0.6250 0.2500
0.6157 0.1250 0.2500
0.3750 0.3843 0.7500
0.8750 0.8657 0.7500
0.0000 0.0000 0.0000
0.7500 0.2500 0.5000
```

## Properties
- SG = I-42d, No. 122
- total moment (Bohr magnetons per cell) = 0.00
- total DFT energy (no corrections) (eV per formula unit) = -25.8

***

13.
Material: PmAs6
Method: DFT, PBE-GGA
State: optimized geometry

The structure in POSCAR format:
```
PmAs6
1.0
6.3075 0.0000 0.0000
-2.1025 5.9467 0.0000
-2.1025 -2.9734 5.1500
As Pm
6 1
Direct
0.2500 0.7500 0.5000
0.7500 0.2500 0.5000
0.2500 0.5000 0.7500
0.7500 0.5000 0.2500
0.5000 0.7500 0.2500
0.5000 0.2500 0.7500
0.0000 0.0000 0.0000
```

## Properties
- SG = Im-3m, No. 229
- total moment (Bohr magnetons per cell) = 0.00
- total DFT energy (no corrections) (eV per formula unit) = -30.4

***

14.
Material: Pm5As
Method: DFT, PBE-GGA
State: optimized geometry

The structure in POSCAR format:
```
Pm5As
1.0
-3.3446 -0.2323 3.5532
-3.4150 -0.4008 -3.2407
2.4308 -7.4332 1.8021
Pm As
5 1
Direct
0.0000 0.3475 0.6950
0.5000 0.1598 0.3196
0.0000 0.6525 0.3050
0.5000 0.5000 0.0000
0.5000 0.8402 0.6804
0.0000 0.0000 0.0000
```

## Properties
- SG = Cmmm, No. 65
- total moment (Bohr magnetons per cell) = 0.00
- total DFT energy (no corrections) (eV per formula unit) = -30.0

***

15.
Material: Pm6As5
Method: DFT, PBE-GGA
State: optimized geometry

The structure in POSCAR format:
```
Pm6As5
1.0
-4.7872 -3.8439 3.9680
3.5881 -3.9715 4.9650
-2.2114 6.7557 1.6346
Pm As
6 5
Direct
0.2530 0.5729 0.6576
0.2569 0.2573 0.0000
0.7470 0.0847 0.6576
0.7431 0.7427 0.0000
0.2530 0.9153 0.3424
0.7470 0.4271 0.3424
0.5000 0.5000 0.0000
0.0000 0.6664 0.3328
0.5000 0.8336 0.6671
0.5000 0.1664 0.3329
0.0000 0.3336 0.6672
```

## Properties
- SG = C2/m, No. 12
- total moment (Bohr magnetons per cell) = 0.37
- total DFT energy (no corrections) (eV per formula unit) = -66.9

***

16.
Material: Pm4As3
Method: DFT, PBE-GGA
State: optimized geometry

The structure in POSCAR format:
```
Pm4As3
1.0
4.1398 0.0000 0.8332
1.9860 3.6323 0.8332
-0.5724 -0.3394 13.5444
Pm As
4 3
Direct
0.3751 0.3751 0.8746
0.8740 0.8740 0.3780
0.1260 0.1260 0.6220
0.6249 0.6249 0.1254
0.0000 0.0000 0.0000
0.7536 0.7536 0.7391
0.2464 0.2464 0.2609
```

## Properties
- SG = R-3m, No. 166
- total moment (Bohr magnetons per cell) = 0.00
- total DFT energy (no corrections) (eV per formula unit) = -41.8

***

17.
Material: Pm4As
Method: DFT, PBE-GGA
State: optimized geometry

The structure in POSCAR format:
```
Pm4As
1.0
5.6579 0.0000 0.0000
0.0000 5.6579 0.0000
0.0000 0.0000 5.6579
Pm As
4 1
Direct
0.0000 0.5000 0.5000
0.5000 0.5000 0.0000
0.0000 0.0000 0.0000
0.5000 0.0000 0.5000
0.5000 0.5000 0.5000
```

## Properties
- SG = Pm-3m, No. 221
- total moment (Bohr magnetons per cell) = 0.01
- total DFT energy (no corrections) (eV per formula unit) = -25.2

***

18.
Material: PmPr2As3
Method: DFT, PBE-GGA
State: optimized geometry

The structure in POSCAR format:
```
PmPr2As3
1.0
-3.0812 2.7242 1.2221
-1.8688 0.4625 -5.7427
-1.5325 -6.5326 3.1667
As Pr Pm
3 2 1
Direct
0.6644 0.6644 0.3289
0.3356 0.3356 0.6711
0.0000 0.0000 0.0000
0.6670 0.1670 0.3339
0.3330 0.8330 0.6661
0.0000 0.5000 0.0000
```

## Properties
- SG = Immm, No. 71
- total moment (Bohr magnetons per cell) = 0.00
- total DFT energy (no corrections) (eV per formula unit) = -37.3

***

19.
Material: PmPrAs2
Method: DFT, PBE-GGA
State: optimized geometry

The structure in POSCAR format:
```
PmPrAs2
1.0
-0.2430 0.5242 3.2407
2.6160 -4.7113 0.9582
4.7907 2.6462 -0.0688
As Pm Pr
2 1 1
Direct
0.0000 0.5000 0.0000
0.0000 0.0000 0.5000
0.5000 0.5000 0.5000
0.5000 0.0000 0.0000
```

## Properties
- ΔE to the lowest computed polymorph (meV/atom) = 442
- SG = P4/mmm, No. 123
- total moment (Bohr magnetons per cell) = 0.00

***

20.
Material: PmPrAs2
Method: DFT, PBE-GGA
State: optimized geometry

The structure in POSCAR format:
```
PmPrAs2
1.0
5.5647 0.0000 -2.3501
-0.9925 5.4755 -2.3501
-0.1536 -0.1840 7.3995
As Pr Pm
4 2 2
Direct
0.4984 0.9984 0.9967
0.2516 0.2516 0.5033
0.0016 0.5016 0.0033
0.7484 0.7484 0.4967
0.7500 0.2500 0.5000
0.0000 0.0000 0.0000
0.5000 0.5000 0.0000
0.2500 0.7500 0.5000
```

## Properties
- ΔE to the lowest computed polymorph (meV/atom) = 0
- SG = I4_1/amd, No. 141
- total moment (Bohr magnetons per cell) = 0.00

***

21.
Material: PmPrAs2
Method: DFT, PBE-GGA
State: optimized geometry

The structure in POSCAR format:
```
PmPrAs2
1.0
5.2178 0.0000 0.0000
2.6089 4.5187 0.0000
2.6089 1.5062 4.2603
As Pm Pr
2 1 1
Direct
0.2500 0.2500 0.2500
0.7500 0.7500 0.7500
0.0000 0.0000 0.0000
0.5000 0.5000 0.5000
```

## Properties
- ΔE to the lowest computed polymorph (meV/atom) = 443
- SG = Fm-3m, No. 225
- total moment (Bohr magnetons per cell) = 0.00

***

22.
Material: Pm4PrAs5
Method: DFT, PBE-GGA
State: optimized geometry

The structure in POSCAR format:
```
Pm4PrAs5
1.0
-1.6392 0.0957 -3.9269
5.5150 -0.5914 -2.3165
-2.9948 -10.3277 3.3052
Pm As Pr
4 5 1
Direct
0.2006 0.2006 0.4012
0.3997 0.3997 0.7994
0.6003 0.6003 0.2006
0.7994 0.7994 0.5988
0.3985 0.8985 0.7970
0.1999 0.6999 0.3997
0.0000 0.5000 0.0000
0.8001 0.3001 0.6003
0.6015 0.1015 0.2030
0.0000 0.0000 0.0000
```

## Properties
- SG = Immm, No. 71
- total moment (Bohr magnetons per cell) = 0.00
- total DFT energy (no corrections) (eV per formula unit) = -62.2

***

23.
Material: Pm5PrAs6
Method: DFT, PBE-GGA
State: optimized geometry

The structure in POSCAR format:
```
Pm5PrAs6
1.0
-6.8381 -1.0276 -2.5282
-3.8770 -3.8808 4.9126
-3.7921 3.4725 5.2695
Pm As Pr
5 6 1
Direct
0.0000 0.6668 0.6664
0.5000 0.8338 0.3325
0.0000 0.3332 0.3336
0.5000 0.5000 0.0000
0.5000 0.1662 0.6675
0.2512 0.2519 0.0000
0.2515 0.5807 0.3355
0.2515 0.9162 0.6645
0.7488 0.7481 0.0000
0.7485 0.4193 0.6645
0.7485 0.0838 0.3355
0.0000 0.0000 0.0000
```

## Properties
- SG = C2/m, No. 12
- total moment (Bohr magnetons per cell) = 0.00
- total DFT energy (no corrections) (eV per formula unit) = -74.7

***

24.
Material: Pm2PrAs
Method: DFT, PBE-GGA
State: optimized geometry

The structure in POSCAR format:
```
Pm2PrAs
1.0
-2.9155 2.0576 3.1493
-0.9576 -4.2816 1.9108
3.6593 0.5369 3.0368
Pm Pr As
2 1 1
Direct
0.0000 0.5000 0.0000
0.0000 0.0000 0.5000
0.5000 0.5000 0.5000
0.5000 0.0000 0.0000
```

## Properties
- ΔE to the lowest computed polymorph (meV/atom) = 145
- SG = P4/mmm, No. 123
- total moment (Bohr magnetons per cell) = 0.00